# 1
# Ba4As

Crystalline Ba4As at its relaxed geometry (PBE-GGA, Alexandria).

Output
Symmetry: Im-3m
DFT total energy, Ha/atom: -0.1046
Energy of formation from the pure elements, eV per atom: -0.377
Polymorph energy (0 for the lowest one), eV per atom: 0.091
Density of states at the Fermi level, states/eV per atom: 1.087

a = 6.867 Å, b = 6.867 Å, c = 6.867 Å
α = 109.47°, β = 109.47°, γ = 109.47°
Positions (direct):
Ba  0.000  0.000  0.500
Ba  0.000  0.500  0.000
Ba  0.500  0.000  0.000
Ba  0.500  0.500  0.500
As  0.000  0.000  0.000

# 2
# Cr3SiW2

Crystalline Cr3SiW2 at its relaxed geometry (PBE-GGA, Alexandria).

Output
Symmetry: R-3m
DFT total energy, Ha/atom: -0.3749
Density of states at the Fermi level, states/eV per atom: 0.814
Formation energy (no corrections), meV/atom: -168

a = 4.860 Å, b = 4.860 Å, c = 4.860 Å
α = 58.57°, β = 58.57°, γ = 58.57°
Positions (direct):
Cr  0.000  0.500  0.500
Cr  0.500  0.000  0.500
Cr  0.500  0.500  0.000
Si  0.500  0.500  0.500
W  0.123  0.123  0.123
W  0.877  0.877  0.877

# 3
# Tl2OsRu

Crystalline Tl2OsRu at its relaxed geometry (PBE-GGA, Alexandria).

Output
Symmetry: Pm
DFT total energy, Ha/atom: -0.2137
Energy of formation from the pure elements, eV per atom: 0.495
Polymorph energy (0 for the lowest one), eV per atom: 0.000
Density of states at the Fermi level, states/eV per atom: 0.413

a = 2.932 Å, b = 3.030 Å, c = 8.982 Å
α = 90.00°, β = 99.36°, γ = 90.00°
Positions (direct):
Tl  0.000  0.000  0.000
Tl  0.164  0.500  0.332
Os  0.792  0.000  0.582
Ru  0.378  0.500  0.756

# 4
# PmGa3Ni3

Crystalline PmGa3Ni3 at its relaxed geometry (PBE-GGA, Alexandria).

Output
Symmetry: Pm-3n
DFT total energy, Ha/atom: -0.1675
Energy of formation from the pure elements, eV per atom: -0.103
Polymorph energy (0 for the lowest one), eV per atom: 0.206
Density of states at the Fermi level, states/eV per atom: 0.800

a = 6.443 Å, b = 6.443 Å, c = 6.443 Å
α = 90.00°, β = 90.00°, γ = 90.00°
Positions (direct):
Pm  0.000  0.000  0.000
Pm  0.500  0.500  0.500
Ga  0.000  0.250  0.500
Ga  0.000  0.750  0.500
Ga  0.250  0.500  0.000
Ga  0.500  0.000  0.250
Ga  0.500  0.000  0.750
Ga  0.750  0.500  0.000
Ni  0.000  0.500  0.250
Ni  0.000  0.500  0.750
Ni  0.250  0.000  0.500
Ni  0.500  0.250  0.000
Ni  0.500  0.750  0.000
Ni  0.750  0.000  0.500

# 5
# CaAg2Pb2

Crystalline CaAg2Pb2 at its relaxed geometry (PBE-GGA, Alexandria).

Output
Symmetry: I4/mmm
DFT total energy, Ha/atom: -0.1151
Energy of formation from the pure elements, eV per atom: -0.109
Polymorph energy (0 for the lowest one), eV per atom: 0.037
Density of states at the Fermi level, states/eV per atom: 0.590

a = 7.265 Å, b = 7.265 Å, c = 7.265 Å
α = 142.93°, β = 142.93°, γ = 53.44°
Positions (direct):
Ca  0.000  0.000  0.000
Ag  0.398  0.398  0.000
Ag  0.602  0.602  0.000
Pb  0.250  0.750  0.500
Pb  0.750  0.250  0.500

# 6
# YTiSbI2

Crystalline YTiSbI2 at its relaxed geometry (PBE-GGA, Alexandria).

Output
Symmetry: P4/mmm
DFT total energy, Ha/atom: -0.1622
Polymorph energy (0 for the lowest one), eV per atom: 0.000
Density of states at the Fermi level, states/eV per atom: 0.889
Formation energy (no corrections), meV/atom: -97

a = 5.363 Å, b = 5.363 Å, c = 5.636 Å
α = 90.00°, β = 90.00°, γ = 90.00°
Positions (direct):
Y  0.000  0.000  0.000
Ti  0.500  0.500  0.500
Sb  0.500  0.500  0.000
I  0.000  0.500  0.500
I  0.500  0.000  0.500